A relaxed Zn6RuO6 crystal. Source: Alexandria, functional PBE-GGA.

```
13
Lattice="-5.0605 2.6248 -0.2456 -0.6710 -0.7684 5.6141 2.5494 5.0078 0.9902" Properties=species:S:1:pos:R:3 pbc="T T T"
O 0.0017 3.1642 0.4333
Zn 0.7708 1.9268 4.7112
O -3.0325 0.7373 4.0790
Zn 1.1076 2.3126 1.8930
Zn -4.1359 1.5870 2.6226
Zn -1.8954 2.5593 0.1238
O -2.6991 1.1191 1.2895
O -2.5127 4.4684 0.3113
O 0.3058 0.8756 3.0561
O 1.5726 3.3638 3.5481
Zn -1.5956 0.2694 2.7459
Ru 0.0000 0.0000 0.0000
Zn -0.6156 5.0733 0.6208
```

Summary:
magnetization: 2.80 Bohr magnetons per cell
raw formation energy: -0.830 eV per atom
volume: 14.29 Å³/atom
SG: Pm-3, No. 200